(1)
DFT (PBE) results for an optimized crystal structure of NdGd2Zr.

Output
energy relative to the lowest polymorph listed for this composition: 243 meV/atom
E: -10.048 eV/atom
formation enthalpy at 0 K: 321 meV/atom

Unit cell a=3.3978 b=3.3978 c=36.4592 alpha=90.00 beta=90.00 gamma=120.00
Space group R-3m (No. 166, hexagonal axes)
One atom of each set of equivalent atoms:
Nd: 0.0000 0.0000 0.0000 [3 per cell]
Gd: 0.0000 0.0000 0.4153 [6 per cell]
Zr: 0.0000 0.0000 0.5000 [3 per cell]


(2)
DFT (PBE) results for an optimized crystal structure of NdGd2Zr.

Output
energy relative to the lowest polymorph listed for this composition: 39 meV/atom
E: -10.252 eV/atom
formation enthalpy at 0 K: 117 meV/atom

Unit cell a=4.915 b=4.915 c=4.952 alpha=90.00 beta=90.00 gamma=90.00
Space group P4/mmm (No. 123)
One atom of each set of equivalent atoms:
Nd: 0.000 0.000 0.000 [1 per cell]
Gd: 0.000 0.500 0.500 [2 per cell]
Zr: 0.500 0.500 0.000 [1 per cell]


Q: The highest energy relative to the lowest polymorph listed for this composition belongs to which entry?
A: number 1